10
Lattice="-1.443 3.207 6.494 -4.966 -5.242 1.551 7.186 -2.049 -1.618" Properties=species:S:1:pos:R:3 comment="LaPm2Pt2 | the Alexandria database | PBE | relaxed" e_form_kcal_per_mol_atoms=-18.15 space_group=C2/c pbc="T T T"
La 1.023 -2.007 5.439
La -0.246 -2.078 0.989
Pm -1.998 -5.260 2.205
Pm 2.475 -4.173 2.631
Pm 2.775 1.175 4.223
Pm -1.698 0.089 3.797
Pt 3.439 -2.880 0.310
Pt 0.727 0.256 2.354
Pt 0.050 -4.341 4.074
Pt -2.663 -1.205 6.118



5
Lattice="-3.643 0.416 4.305 4.041 -1.679 3.582 1.542 5.384 0.785" Properties=species:S:1:pos:R:3 comment="LaPm3Pt | the Alexandria database | PBE | relaxed" e_form_kcal_per_mol_atoms=-7.03 space_group=Pm-3m pbc="T T T"
La 0.970 2.060 4.336
Pt 0.000 0.000 0.000
Pm 2.021 -0.840 1.791
Pm 0.771 2.692 0.392
Pm -1.821 0.208 2.153



| no. | E above lowest polymorph (meV/atom) | volume (Å³/cell) |
| --- | --- | --- |
| 1 | 171.4 | 303.9 |
| 2 | 116.9 | 180.9 |